RbYEr4Se8 after structural relaxation, computed with GGA-PBE.

Structure (POSCAR):
```
RbYEr4Se8
1.0
8.565 0.000 0.000
4.283 7.418 0.000
4.283 2.473 7.058
Er Se Y Rb
4 8 1 1
Cartesian
8.565 4.945 0.876
2.221 1.282 3.565
6.344 1.282 3.565
4.283 4.853 3.565
6.132 3.540 5.141
12.848 7.418 5.141
10.826 6.250 1.820
10.999 3.540 5.141
8.565 2.334 1.820
6.304 6.250 1.820
8.565 7.755 5.141
4.283 2.473 2.165
4.283 2.473 6.944
8.565 4.945 6.226
```

Values from the calculation:
formation energy without anion corrections = -1.708 eV/atom
theoretical density = 5.46 g/cm3
raw total energy = -77.47 eV per formula unit